<w>
YMgCoB | GGA-PBE | optimized geometry Values from VASP.

Computed properties:
- ρ (g cm⁻³) = 5.15
- SG = F-43m, No. 216
- spin magnetization (μB/cell) = 1.0

```
&SYSTEM
  ibrav = 0, nat = 4, ntyp = 4
/
ATOMIC_SPECIES
B 10.81 B.upf
Co 58.93 Co.upf
Mg 24.30 Mg.upf
Y 88.91 Y.upf
ATOMIC_POSITIONS angstrom
B 0.000 0.000 0.000
Co 4.635 4.635 4.635
Mg 1.545 1.545 1.545
Y 3.090 3.090 3.090
CELL_PARAMETERS angstrom
0.000 3.090 3.090
3.090 0.000 3.090
3.090 3.090 0.000
```

---

<x>
YMgCoB | GGA-PBE | optimized geometry Values from VASP.

Computed properties:
- ρ (g cm⁻³) = 5.18
- SG = F-43m, No. 216
- spin magnetization (μB/cell) = 0.1

```
&SYSTEM
  ibrav = 0, nat = 4, ntyp = 4
/
ATOMIC_SPECIES
B 10.81 B.upf
Co 58.93 Co.upf
Mg 24.30 Mg.upf
Y 88.91 Y.upf
ATOMIC_POSITIONS angstrom
B 0.000 0.000 0.000
Co -6.898 3.548 2.013
Mg -4.598 2.365 1.342
Y -2.299 1.183 0.671
CELL_PARAMETERS angstrom
-2.687 0.947 3.303
-2.195 3.770 0.014
-4.316 0.014 -0.634
```

---

Last place for stability: <w>

---

<w>
MgZrCoB | GGA-PBE | optimized geometry Values from VASP.

Computed properties:
- ρ (g cm⁻³) = 5.61
- SG = F-43m, No. 216
- spin magnetization (μB/cell) = 0.3

```
&SYSTEM
  ibrav = 0, nat = 4, ntyp = 4
/
ATOMIC_SPECIES
B 10.81 B.upf
Co 58.93 Co.upf
Mg 24.30 Mg.upf
Zr 91.22 Zr.upf
ATOMIC_POSITIONS angstrom
B 0.000 0.000 0.000
Co -0.241 -5.031 1.387
Mg -0.362 -7.546 2.080
Zr -0.121 -2.515 0.693
CELL_PARAMETERS angstrom
1.719 -3.860 -0.585
0.274 -2.729 3.266
-2.475 -3.473 0.091
```

---

<x>
MgZrCoB | GGA-PBE | optimized geometry Values from VASP.

Computed properties:
- ρ (g cm⁻³) = 5.84
- SG = F-43m, No. 216
- spin magnetization (μB/cell) = 0.0

```
&SYSTEM
  ibrav = 0, nat = 4, ntyp = 4
/
ATOMIC_SPECIES
B 10.81 B.upf
Co 58.93 Co.upf
Mg 24.30 Mg.upf
Zr 91.22 Zr.upf
ATOMIC_POSITIONS angstrom
B 1.488 -3.932 2.979
Co 0.744 -1.966 1.489
Mg 2.231 -5.899 4.468
Zr 0.000 0.000 0.000
CELL_PARAMETERS angstrom
2.724 -1.227 2.962
-1.218 -2.696 2.992
1.469 -3.942 0.004
```

---

Last place for stability: <x>

---

<w>
ZnCoBMo | GGA-PBE | optimized geometry Values from VASP.

Computed properties:
- ρ (g cm⁻³) = 8.16
- SG = F-43m, No. 216
- spin magnetization (μB/cell) = 0.8

```
&SYSTEM
  ibrav = 0, nat = 4, ntyp = 4
/
ATOMIC_SPECIES
B 10.81 B.upf
Co 58.93 Co.upf
Mo 95.94 Mo.upf
Zn 65.41 Zn.upf
ATOMIC_POSITIONS angstrom
B 0.000 0.000 0.000
Co 4.445 -4.267 -4.175
Mo 2.964 -2.845 -2.783
Zn 1.482 -1.422 -1.392
CELL_PARAMETERS angstrom
3.508 -2.024 -0.093
0.272 -3.489 -2.042
2.147 -0.177 -3.432
```

---

<x>
ZnCoBMo | GGA-PBE | optimized geometry Values from VASP.

Computed properties:
- ρ (g cm⁻³) = 8.36
- SG = F-43m, No. 216
- spin magnetization (μB/cell) = 2.1

```
&SYSTEM
  ibrav = 0, nat = 4, ntyp = 4
/
ATOMIC_SPECIES
B 10.81 B.upf
Co 58.93 Co.upf
Mo 95.94 Mo.upf
Zn 65.41 Zn.upf
ATOMIC_POSITIONS angstrom
B 0.000 0.000 0.000
Co -3.004 -6.267 2.490
Mo -1.001 -2.089 0.830
Zn -2.002 -4.178 1.660
CELL_PARAMETERS angstrom
-1.878 -1.732 3.102
-2.837 -2.768 -0.661
0.711 -3.856 0.880
```

---

Last place for stability: <w>

---

<w>
NaNbCoB | GGA-PBE | optimized geometry Values from VASP.

Computed properties:
- ρ (g cm⁻³) = 5.87
- SG = F-43m, No. 216
- spin magnetization (μB/cell) = 0.2

```
&SYSTEM
  ibrav = 0, nat = 4, ntyp = 4
/
ATOMIC_SPECIES
B 10.81 B.upf
Co 58.93 Co.upf
Na 22.99 Na.upf
Nb 92.91 Nb.upf
ATOMIC_POSITIONS angstrom
B 2.972 2.972 2.972
Co 0.000 0.000 0.000
Na 4.458 4.458 4.458
Nb 1.486 1.486 1.486
CELL_PARAMETERS angstrom
0.000 2.972 2.972
2.972 0.000 2.972
2.972 2.972 0.000
```

---

<x>
NaNbCoB | GGA-PBE | optimized geometry Values from VASP.

Computed properties:
- ρ (g cm⁻³) = 6.23
- SG = F-43m, No. 216
- spin magnetization (μB/cell) = 0.0

```
&SYSTEM
  ibrav = 0, nat = 4, ntyp = 4
/
ATOMIC_SPECIES
B 10.81 B.upf
Co 58.93 Co.upf
Na 22.99 Na.upf
Nb 92.91 Nb.upf
ATOMIC_POSITIONS angstrom
B 0.000 0.000 0.000
Co 0.058 -1.419 2.085
Na 0.174 -4.256 6.256
Nb 0.116 -2.838 4.171
CELL_PARAMETERS angstrom
2.180 -2.783 2.116
-0.012 0.072 4.119
-1.936 -2.964 2.107
```

---

Last place for stability: <w>

---

<w>
NaTaCoB | GGA-PBE | optimized geometry Values from VASP.

Computed properties:
- ρ (g cm⁻³) = 8.75
- SG = F-43m, No. 216
- spin magnetization (μB/cell) = 0.2

```
&SYSTEM
  ibrav = 0, nat = 4, ntyp = 4
/
ATOMIC_SPECIES
B 10.81 B.upf
Co 58.93 Co.upf
Na 22.99 Na.upf
Ta 180.95 Ta.upf
ATOMIC_POSITIONS angstrom
B -4.002 2.690 -1.746
Co 0.000 0.000 0.000
Na -6.003 4.036 -2.619
Ta -2.001 1.345 -0.873
CELL_PARAMETERS angstrom
-2.949 2.793 1.019
-1.241 2.852 -2.803
-3.814 -0.264 -1.708
```

---

<x>
NaTaCoB | GGA-PBE | optimized geometry Values from VASP.

Computed properties:
- ρ (g cm⁻³) = 9.27
- SG = F-43m, No. 216
- spin magnetization (μB/cell) = 0.0

```
&SYSTEM
  ibrav = 0, nat = 4, ntyp = 4
/
ATOMIC_SPECIES
B 10.81 B.upf
Co 58.93 Co.upf
Na 22.99 Na.upf
Ta 180.95 Ta.upf
ATOMIC_POSITIONS angstrom
B 0.000 0.000 0.000
Co 1.453 1.453 1.453
Na 4.358 4.358 4.358
Ta 2.905 2.905 2.905
CELL_PARAMETERS angstrom
0.000 2.905 2.905
2.905 0.000 2.905
2.905 2.905 0.000
```

---

Last place for stability: <x>

---

<w>
NbCoBPd | GGA-PBE | optimized geometry Values from VASP.

Computed properties:
- ρ (g cm⁻³) = 8.68
- SG = F-43m, No. 216
- spin magnetization (μB/cell) = 0.7

```
&SYSTEM
  ibrav = 0, nat = 4, ntyp = 4
/
ATOMIC_SPECIES
B 10.81 B.upf
Co 58.93 Co.upf
Nb 92.91 Nb.upf
Pd 106.42 Pd.upf
ATOMIC_POSITIONS angstrom
B 0.000 0.000 0.000
Co 4.429 4.429 4.429
Nb 2.952 2.952 2.952
Pd 1.476 1.476 1.476
CELL_PARAMETERS angstrom
0.000 2.952 2.952
2.952 0.000 2.952
2.952 2.952 0.000
```

---

<x>
NbCoBPd | GGA-PBE | optimized geometry Values from VASP.

Computed properties:
- ρ (g cm⁻³) = 8.61
- SG = F-43m, No. 216
- spin magnetization (μB/cell) = 0.2

```
&SYSTEM
  ibrav = 0, nat = 4, ntyp = 4
/
ATOMIC_SPECIES
B 10.81 B.upf
Co 58.93 Co.upf
Nb 92.91 Nb.upf
Pd 106.42 Pd.upf
ATOMIC_POSITIONS angstrom
B 0.000 0.000 0.000
Co -0.339 -6.237 -4.489
Nb -0.113 -2.079 -1.496
Pd -0.226 -4.158 -2.993
CELL_PARAMETERS angstrom
2.079 -2.309 -2.807
-0.461 -4.161 -0.041
-2.069 -1.846 -3.137
```

---

Last place for stability: <w>

---

<w>
NdCoB4 | GGA-PBE | optimized geometry Values from VASP.

Computed properties:
- ρ (g cm⁻³) = 6.24
- SG = Immm, No. 71
- spin magnetization (μB/cell) = 1.5

```
&SYSTEM
  ibrav = 0, nat = 6, ntyp = 3
/
ATOMIC_SPECIES
B 10.81 B.upf
Co 58.93 Co.upf
Nd 144.24 Nd.upf
ATOMIC_POSITIONS angstrom
B 0.000 1.783 1.964
B 1.566 -0.894 1.944
B 0.000 3.570 1.964
B 1.566 0.894 1.944
Co 0.000 0.000 0.000
Nd 0.000 0.000 3.908
CELL_PARAMETERS angstrom
-1.566 2.676 3.908
1.566 -2.676 3.908
1.566 2.676 -3.908
```

---

<x>
NdCoB4 | GGA-PBE | optimized geometry Values from VASP.

Computed properties:
- ρ (g cm⁻³) = 6.88
- SG = P6/mmm, No. 191
- spin magnetization (μB/cell) = 0.0

```
&SYSTEM
  ibrav = 0, nat = 6, ntyp = 3
/
ATOMIC_SPECIES
B 10.81 B.upf
Co 58.93 Co.upf
Nd 144.24 Nd.upf
ATOMIC_POSITIONS angstrom
B 1.596 0.922 2.108
B 0.000 1.843 2.108
B 1.596 0.922 4.629
B 0.000 1.843 4.629
Co 0.000 0.000 3.369
Nd 0.000 0.000 0.000
CELL_PARAMETERS angstrom
3.193 0.000 0.000
-1.596 2.765 0.000
0.000 0.000 6.738
```

---

Last place for stability: <w>

---

<w>
CoNiB4 | GGA-PBE | optimized geometry Values from VASP.

Computed properties:
- ρ (g cm⁻³) = 5.86
- SG = P6/mmm, No. 191
- spin magnetization (μB/cell) = 0.9

```
&SYSTEM
  ibrav = 0, nat = 6, ntyp = 3
/
ATOMIC_SPECIES
B 10.81 B.upf
Co 58.93 Co.upf
Ni 58.69 Ni.upf
ATOMIC_POSITIONS angstrom
B -0.381 -1.482 1.717
B -0.767 -2.161 0.172
B 0.943 -3.876 2.439
B 0.557 -4.555 0.894
Co 1.370 -2.478 0.747
Ni 0.000 0.000 0.000
CELL_PARAMETERS angstrom
-0.703 0.478 2.876
-1.861 -1.560 -1.759
2.741 -4.956 1.495
```

---

<x>
CoNiB4 | GGA-PBE | optimized geometry Values from VASP.

Computed properties:
- ρ (g cm⁻³) = 5.90
- SG = Immm, No. 71
- spin magnetization (μB/cell) = 0.0

```
&SYSTEM
  ibrav = 0, nat = 6, ntyp = 3
/
ATOMIC_SPECIES
B 10.81 B.upf
Co 58.93 Co.upf
Ni 58.69 Ni.upf
ATOMIC_POSITIONS angstrom
B 0.000 1.737 1.464
B 1.496 -0.864 1.445
B 0.000 3.465 1.464
B 1.496 0.864 1.445
Co 0.000 0.000 0.000
Ni 0.000 0.000 2.909
CELL_PARAMETERS angstrom
-1.496 2.601 2.909
1.496 -2.601 2.909
1.496 2.601 -2.909
```

---

Last place for stability: <w>

---

<w>
CoNiB2 | GGA-PBE | optimized geometry Values from VASP.

Computed properties:
- ρ (g cm⁻³) = 7.29
- SG = Amm2, No. 38
- spin magnetization (μB/cell) = 0.0

```
&SYSTEM
  ibrav = 0, nat = 4, ntyp = 3
/
ATOMIC_SPECIES
B 10.81 B.upf
Co 58.93 Co.upf
Ni 58.69 Ni.upf
ATOMIC_POSITIONS angstrom
B 0.647 -1.126 3.208
B 1.215 0.429 3.936
Co 1.831 0.647 5.931
Ni 0.042 -1.340 1.246
CELL_PARAMETERS angstrom
-0.537 -2.900 0.482
2.438 0.059 3.071
-0.302 0.696 3.848
```

---

<x>
CoNiB2 | GGA-PBE | optimized geometry Values from VASP.

Computed properties:
- ρ (g cm⁻³) = 6.98
- SG = F-43m, No. 216
- spin magnetization (μB/cell) = 0.0

```
&SYSTEM
  ibrav = 0, nat = 4, ntyp = 3
/
ATOMIC_SPECIES
B 10.81 B.upf
Co 58.93 Co.upf
Ni 58.69 Ni.upf
ATOMIC_POSITIONS angstrom
B -3.582 2.455 -0.803
B -5.373 3.683 -1.204
Co -1.791 1.228 -0.401
Ni 0.000 0.000 0.000
CELL_PARAMETERS angstrom
-3.512 -0.093 -0.812
-2.232 2.484 1.360
-1.420 2.519 -2.153
```

---

Last place for stability: <x>

---

<w>
CoNiBOs | GGA-PBE | optimized geometry Values from VASP.

Computed properties:
- ρ (g cm⁻³) = 12.05
- SG = F-43m, No. 216
- spin magnetization (μB/cell) = 1.6

```
&SYSTEM
  ibrav = 0, nat = 4, ntyp = 4
/
ATOMIC_SPECIES
B 10.81 B.upf
Co 58.93 Co.upf
Ni 58.69 Ni.upf
Os 190.23 Os.upf
ATOMIC_POSITIONS angstrom
B 0.000 0.000 0.000
Co -5.773 -1.859 4.019
Ni -1.924 -0.620 1.340
Os -3.849 -1.239 2.679
CELL_PARAMETERS angstrom
-2.609 -2.877 0.775
-1.339 -0.516 3.691
-3.749 0.915 0.892
```

---

<x>
CoNiBOs | GGA-PBE | optimized geometry Values from VASP.

Computed properties:
- ρ (g cm⁻³) = 12.65
- SG = F-43m, No. 216
- spin magnetization (μB/cell) = 1.0

```
&SYSTEM
  ibrav = 0, nat = 4, ntyp = 4
/
ATOMIC_SPECIES
B 10.81 B.upf
Co 58.93 Co.upf
Ni 58.69 Ni.upf
Os 190.23 Os.upf
ATOMIC_POSITIONS angstrom
B 0.000 0.000 0.000
Co 0.288 -4.376 -5.658
Ni 0.192 -2.917 -3.772
Os 0.096 -1.459 -1.886
CELL_PARAMETERS angstrom
0.279 -3.717 -1.137
-1.890 -1.210 -3.186
1.995 -0.907 -3.222
```

---

Last place for stability: <w>

---

<w>
CoTcNiB | GGA-PBE | optimized geometry Values from VASP.

Computed properties:
- ρ (g cm⁻³) = 9.02
- SG = F-43m, No. 216
- spin magnetization (μB/cell) = 0.0

```
&SYSTEM
  ibrav = 0, nat = 4, ntyp = 4
/
ATOMIC_SPECIES
B 10.81 B.upf
Co 58.93 Co.upf
Ni 58.69 Ni.upf
Tc 98.00 Tc.upf
ATOMIC_POSITIONS angstrom
B 0.000 0.000 0.000
Co 4.128 4.128 4.128
Ni 2.752 2.752 2.752
Tc 1.376 1.376 1.376
CELL_PARAMETERS angstrom
0.000 2.752 2.752
2.752 0.000 2.752
2.752 2.752 0.000
```

---

<x>
CoTcNiB | GGA-PBE | optimized geometry Values from VASP.

Computed properties:
- ρ (g cm⁻³) = 9.00
- SG = F-43m, No. 216
- spin magnetization (μB/cell) = 0.0

```
&SYSTEM
  ibrav = 0, nat = 4, ntyp = 4
/
ATOMIC_SPECIES
B 10.81 B.upf
Co 58.93 Co.upf
Ni 58.69 Ni.upf
Tc 98.00 Tc.upf
ATOMIC_POSITIONS angstrom
B 0.000 0.000 0.000
Co 2.754 2.754 2.754
Ni 4.131 4.131 4.131
Tc 1.377 1.377 1.377
CELL_PARAMETERS angstrom
0.000 2.754 2.754
2.754 0.000 2.754
2.754 2.754 0.000
```

---

Last place for stability: <x>

---

<w>
CoNiBW | GGA-PBE | optimized geometry Values from VASP.

Computed properties:
- ρ (g cm⁻³) = 12.06
- SG = F-43m, No. 216
- spin magnetization (μB/cell) = 0.1

```
&SYSTEM
  ibrav = 0, nat = 4, ntyp = 4
/
ATOMIC_SPECIES
B 10.81 B.upf
Co 58.93 Co.upf
Ni 58.69 Ni.upf
W 183.84 W.upf
ATOMIC_POSITIONS angstrom
B 0.000 0.000 0.000
Co 4.171 4.171 4.171
Ni 2.781 2.781 2.781
W 1.390 1.390 1.390
CELL_PARAMETERS angstrom
0.000 2.781 2.781
2.781 0.000 2.781
2.781 2.781 0.000
```

---

<x>
CoNiBW | GGA-PBE | optimized geometry Values from VASP.

Computed properties:
- ρ (g cm⁻³) = 11.70
- SG = F-43m, No. 216
- spin magnetization (μB/cell) = 0.0

```
&SYSTEM
  ibrav = 0, nat = 4, ntyp = 4
/
ATOMIC_SPECIES
B 10.81 B.upf
Co 58.93 Co.upf
Ni 58.69 Ni.upf
W 183.84 W.upf
ATOMIC_POSITIONS angstrom
B 0.000 0.000 0.000
Co 2.065 -6.987 0.406
Ni 0.688 -2.329 0.135
W 1.377 -4.658 0.271
CELL_PARAMETERS angstrom
1.515 -2.801 2.374
-1.214 -3.766 -0.346
2.452 -2.749 -1.486
```

---

Last place for stability: <x>

---

<w>
ZnCoNiB | GGA-PBE | optimized geometry Values from VASP.

Computed properties:
- ρ (g cm⁻³) = 8.10
- SG = F-43m, No. 216
- spin magnetization (μB/cell) = 0.0

```
&SYSTEM
  ibrav = 0, nat = 4, ntyp = 4
/
ATOMIC_SPECIES
B 10.81 B.upf
Co 58.93 Co.upf
Ni 58.69 Ni.upf
Zn 65.41 Zn.upf
ATOMIC_POSITIONS angstrom
B -0.874 -2.174 0.103
Co 0.000 0.000 0.000
Ni -1.747 -4.348 0.205
Zn -2.621 -6.522 0.308
CELL_PARAMETERS angstrom
0.482 -3.497 1.486
-3.048 -2.102 0.977
-0.928 -3.097 -2.053
```

---

<x>
ZnCoNiB | GGA-PBE | optimized geometry Values from VASP.

Computed properties:
- ρ (g cm⁻³) = 7.94
- SG = F-43m, No. 216
- spin magnetization (μB/cell) = 0.5

```
&SYSTEM
  ibrav = 0, nat = 4, ntyp = 4
/
ATOMIC_SPECIES
B 10.81 B.upf
Co 58.93 Co.upf
Ni 58.69 Ni.upf
Zn 65.41 Zn.upf
ATOMIC_POSITIONS angstrom
B 0.000 0.000 0.000
Co 5.056 2.607 4.219
Ni 3.371 1.738 2.813
Zn 1.685 0.869 1.406
CELL_PARAMETERS angstrom
3.473 -0.668 1.535
2.468 2.915 0.525
0.801 1.230 3.565
```

---

Last place for stability: <x>

---

<w>
ScCoBOs | GGA-PBE | optimized geometry Values from VASP.

Computed properties:
- ρ (g cm⁻³) = 9.60
- SG = F-43m, No. 216
- spin magnetization (μB/cell) = 2.9

```
&SYSTEM
  ibrav = 0, nat = 4, ntyp = 4
/
ATOMIC_SPECIES
B 10.81 B.upf
Co 58.93 Co.upf
Os 190.23 Os.upf
Sc 44.96 Sc.upf
ATOMIC_POSITIONS angstrom
B 0.000 0.000 0.000
Co 4.465 4.465 4.465
Os 2.977 2.977 2.977
Sc 1.488 1.488 1.488
CELL_PARAMETERS angstrom
0.000 2.977 2.977
2.977 0.000 2.977
2.977 2.977 0.000
```

---

<x>
ScCoBOs | GGA-PBE | optimized geometry Values from VASP.

Computed properties:
- ρ (g cm⁻³) = 10.27
- SG = F-43m, No. 216
- spin magnetization (μB/cell) = 0.0

```
&SYSTEM
  ibrav = 0, nat = 4, ntyp = 4
/
ATOMIC_SPECIES
B 10.81 B.upf
Co 58.93 Co.upf
Os 190.23 Os.upf
Sc 44.96 Sc.upf
ATOMIC_POSITIONS angstrom
B 0.000 0.000 0.000
Co -6.753 2.968 1.665
Os -2.251 0.989 0.555
Sc -4.502 1.979 1.110
CELL_PARAMETERS angstrom
-2.378 1.453 3.030
-2.560 3.142 -0.720
-4.066 -0.637 -0.090
```

---

Last place for stability: <w>

---

<w>
CoB4Pb | GGA-PBE | optimized geometry Values from VASP.

Computed properties:
- ρ (g cm⁻³) = 7.78
- SG = P6/mmm, No. 191
- spin magnetization (μB/cell) = 0.0

```
&SYSTEM
  ibrav = 0, nat = 6, ntyp = 3
/
ATOMIC_SPECIES
B 10.81 B.upf
Co 58.93 Co.upf
Pb 207.20 Pb.upf
ATOMIC_POSITIONS angstrom
B 1.525 0.881 1.365
B 0.000 1.761 1.365
B 1.525 0.881 6.830
B 0.000 1.761 6.830
Co 0.000 0.000 0.000
Pb 0.000 0.000 4.098
CELL_PARAMETERS angstrom
3.050 0.000 0.000
-1.525 2.642 0.000
0.000 0.000 8.195
```

---

<x>
CoB4Pb | GGA-PBE | optimized geometry Values from VASP.

Computed properties:
- ρ (g cm⁻³) = 7.97
- SG = Immm, No. 71
- spin magnetization (μB/cell) = 1.7

```
&SYSTEM
  ibrav = 0, nat = 6, ntyp = 3
/
ATOMIC_SPECIES
B 10.81 B.upf
Co 58.93 Co.upf
Pb 207.20 Pb.upf
ATOMIC_POSITIONS angstrom
B 0.895 -1.147 2.305
B 1.556 1.673 1.175
B 0.110 -2.156 3.490
B 0.770 0.663 2.359
Co 0.000 0.000 0.000
Pb 3.303 -0.170 2.045
CELL_PARAMETERS angstrom
2.510 -2.982 3.093
4.097 2.643 0.996
-4.941 -0.144 0.574
```

---

Last place for stability: <x>